1:
# NaEu2Cu, relaxed, DFT PBE
data_NaEu2Cu
_chemical_formula_sum 'Na1 Eu2 Cu1'
_cell_length_a 5.419
_cell_length_b 5.419
_cell_length_c 4.123
_cell_angle_alpha 90.00
_cell_angle_beta 90.00
_cell_angle_gamma 90.00
_symmetry_space_group_name_H-M 'P 1'
_symmetry_Int_Tables_number 1
loop_
_symmetry_equiv_pos_as_xyz
'x,y,z'
loop_
_atom_site_label
_atom_site_type_symbol
_atom_site_fract_x
_atom_site_fract_y
_atom_site_fract_z
_atom_site_occupancy
Na1 Na 0.000 0.000 0.000 1
Eu1 Eu 0.000 0.500 0.500 1
Eu2 Eu 0.500 0.000 0.500 1
Cu1 Cu 0.500 0.500 0.000 1
# * space-group type: No. 123
# * DOS at the Fermi energy: 11.357 states/eV/cell
# * volume: 121 Å³/f.u.


2:
# NaEu2Cu, relaxed, DFT PBE
data_NaEu2Cu
_chemical_formula_sum 'Na1 Eu2 Cu1'
_cell_length_a 5.539
_cell_length_b 5.539
_cell_length_c 5.539
_cell_angle_alpha 60.00
_cell_angle_beta 60.00
_cell_angle_gamma 60.00
_symmetry_space_group_name_H-M 'P 1'
_symmetry_Int_Tables_number 1
loop_
_symmetry_equiv_pos_as_xyz
'x,y,z'
loop_
_atom_site_label
_atom_site_type_symbol
_atom_site_fract_x
_atom_site_fract_y
_atom_site_fract_z
_atom_site_occupancy
Na1 Na 0.000 0.000 0.000 1
Eu1 Eu 0.250 0.250 0.250 1
Eu2 Eu 0.750 0.750 0.750 1
Cu1 Cu 0.500 0.500 0.500 1
# * space-group type: No. 225
# * DOS at the Fermi energy: 12.520 states/eV/cell
# * volume: 120 Å³/f.u.


Which of them is the most stable, and which is the least stable? 2 and 1, in that order.


1:
# Nd2EuCu, relaxed, DFT PBE
data_Nd2EuCu
_chemical_formula_sum 'Nd2 Eu1 Cu1'
_cell_length_a 3.681
_cell_length_b 3.681
_cell_length_c 9.028
_cell_angle_alpha 90.00
_cell_angle_beta 90.00
_cell_angle_gamma 90.00
_symmetry_space_group_name_H-M 'P 1'
_symmetry_Int_Tables_number 1
loop_
_symmetry_equiv_pos_as_xyz
'x,y,z'
loop_
_atom_site_label
_atom_site_type_symbol
_atom_site_fract_x
_atom_site_fract_y
_atom_site_fract_z
_atom_site_occupancy
Nd1 Nd 0.000 0.000 0.186 1
Nd2 Nd 0.000 0.000 0.814 1
Eu1 Eu 0.500 0.500 0.500 1
Cu1 Cu 0.500 0.500 0.000 1
# * space-group type: No. 123
# * DOS at the Fermi energy: 5.029 states/eV/cell
# * volume: 122 Å³/f.u.


2:
# Nd2EuCu, relaxed, DFT PBE
data_Nd2EuCu
_chemical_formula_sum 'Nd2 Eu1 Cu1'
_cell_length_a 9.722
_cell_length_b 9.722
_cell_length_c 9.722
_cell_angle_alpha 23.38
_cell_angle_beta 23.38
_cell_angle_gamma 23.38
_symmetry_space_group_name_H-M 'P 1'
_symmetry_Int_Tables_number 1
loop_
_symmetry_equiv_pos_as_xyz
'x,y,z'
loop_
_atom_site_label
_atom_site_type_symbol
_atom_site_fract_x
_atom_site_fract_y
_atom_site_fract_z
_atom_site_occupancy
Nd1 Nd 0.230 0.230 0.230 1
Nd2 Nd 0.770 0.770 0.770 1
Eu1 Eu 0.000 0.000 0.000 1
Cu1 Cu 0.500 0.500 0.500 1
# * space-group type: No. 166
# * DOS at the Fermi energy: 5.306 states/eV/cell
# * volume: 127 Å³/f.u.


Which of them is the most stable, and which is the least stable? 1 and 2, in that order.


1:
# NdEuCu2, relaxed, DFT PBE
data_NdEuCu2
_chemical_formula_sum 'Nd1 Eu1 Cu2'
_cell_length_a 3.623
_cell_length_b 3.623
_cell_length_c 7.233
_cell_angle_alpha 90.00
_cell_angle_beta 90.00
_cell_angle_gamma 90.00
_symmetry_space_group_name_H-M 'P 1'
_symmetry_Int_Tables_number 1
loop_
_symmetry_equiv_pos_as_xyz
'x,y,z'
loop_
_atom_site_label
_atom_site_type_symbol
_atom_site_fract_x
_atom_site_fract_y
_atom_site_fract_z
_atom_site_occupancy
Nd1 Nd 0.000 0.000 0.000 1
Eu1 Eu 0.000 0.000 0.500 1
Cu1 Cu 0.500 0.500 0.223 1
Cu2 Cu 0.500 0.500 0.777 1
# * space-group type: No. 123
# * DOS at the Fermi energy: 6.781 states/eV/cell
# * volume: 95 Å³/f.u.


2:
# NdEuCu2, relaxed, DFT PBE
data_NdEuCu2
_chemical_formula_sum 'Nd1 Eu1 Cu2'
_cell_length_a 7.426
_cell_length_b 7.426
_cell_length_c 7.426
_cell_angle_alpha 33.04
_cell_angle_beta 33.04
_cell_angle_gamma 33.04
_symmetry_space_group_name_H-M 'P 1'
_symmetry_Int_Tables_number 1
loop_
_symmetry_equiv_pos_as_xyz
'x,y,z'
loop_
_atom_site_label
_atom_site_type_symbol
_atom_site_fract_x
_atom_site_fract_y
_atom_site_fract_z
_atom_site_occupancy
Nd1 Nd 0.000 0.000 0.000 1
Eu1 Eu 0.500 0.500 0.500 1
Cu1 Cu 0.254 0.254 0.254 1
Cu2 Cu 0.746 0.746 0.746 1
# * space-group type: No. 166
# * DOS at the Fermi energy: 11.591 states/eV/cell
# * volume: 108 Å³/f.u.


3:
# NdEuCu2, relaxed, DFT PBE
data_NdEuCu2
_chemical_formula_sum 'Nd1 Eu1 Cu2'
_cell_length_a 5.097
_cell_length_b 5.097
_cell_length_c 5.097
_cell_angle_alpha 60.00
_cell_angle_beta 60.00
_cell_angle_gamma 60.00
_symmetry_space_group_name_H-M 'P 1'
_symmetry_Int_Tables_number 1
loop_
_symmetry_equiv_pos_as_xyz
'x,y,z'
loop_
_atom_site_label
_atom_site_type_symbol
_atom_site_fract_x
_atom_site_fract_y
_atom_site_fract_z
_atom_site_occupancy
Nd1 Nd 0.000 0.000 0.000 1
Eu1 Eu 0.500 0.500 0.500 1
Cu1 Cu 0.250 0.250 0.250 1
Cu2 Cu 0.750 0.750 0.750 1
# * space-group type: No. 225
# * DOS at the Fermi energy: 6.113 states/eV/cell
# * volume: 94 Å³/f.u.


Which of them is the most stable, and which is the least stable? 1 and 2, in that order.